i:
# TaTi2Tc (PBE-GGA, optimized geometry)
# * density: 9.5 g/cm3
# * magnetization: 0.000 μB per formula unit
data_TaTi2Tc
_chemical_formula_sum 'Ta2 Ti4 Tc2'
_symmetry_space_group_name_H-M 'I m m 2'
_symmetry_Int_Tables_number 44
_symmetry_space_group_name_Hall 'I 2 -2'
_cell_length_a 3.1736
_cell_length_b 4.5609
_cell_length_c 9.0775
_cell_angle_alpha 90.00
_cell_angle_beta 90.00
_cell_angle_gamma 90.00
loop_
_atom_site_label
_atom_site_fract_x
_atom_site_fract_y
_atom_site_fract_z
_atom_site_occupancy
Ta1 0.0000 0.0000 0.0000 1
Ti1 0.0000 0.0000 0.4635 1
Ti2 0.0000 0.5000 0.2343 1
Tc1 0.0000 0.5000 0.7327 1

ii:
# TaTi2Tc (PBE-GGA, optimized geometry)
# * density: 9.5 g/cm3
# * magnetization: 0.000 μB per formula unit
data_TaTi2Tc
_chemical_formula_sum 'Ta1 Ti2 Tc1'
_symmetry_space_group_name_H-M 'P 4/m m m'
_symmetry_Int_Tables_number 123
_symmetry_space_group_name_Hall '-P 4 2'
_cell_length_a 3.0973
_cell_length_b 3.0973
_cell_length_c 6.8125
_cell_angle_alpha 90.00
_cell_angle_beta 90.00
_cell_angle_gamma 90.00
loop_
_atom_site_label
_atom_site_fract_x
_atom_site_fract_y
_atom_site_fract_z
_atom_site_occupancy
Ta1 0.0000 0.0000 0.0000 1
Ti1 0.5000 0.5000 0.2798 1
Tc1 0.0000 0.0000 0.5000 1

iii:
# TaTi2Tc (PBE-GGA, optimized geometry)
# * density: 9.0 g/cm3
# * magnetization: 0.000 μB per formula unit
data_TaTi2Tc
_chemical_formula_sum 'Ta4 Ti8 Tc4'
_symmetry_space_group_name_H-M 'I -4 2 d'
_symmetry_Int_Tables_number 122
_symmetry_space_group_name_Hall 'I -4 2bw'
_cell_length_a 7.1358
_cell_length_b 7.1358
_cell_length_c 5.4456
_cell_angle_alpha 90.00
_cell_angle_beta 90.00
_cell_angle_gamma 90.00
loop_
_atom_site_label
_atom_site_fract_x
_atom_site_fract_y
_atom_site_fract_z
_atom_site_occupancy
Ta1 0.0000 0.0000 0.0000 1
Ti1 0.2195 0.2500 0.6250 1
Tc1 0.0000 0.0000 0.5000 1

Going by the energies, i is most stable and the next is 0.034 eV/atom up.

i:
# Ta2TiTc (PBE-GGA, optimized geometry)
# * density: 12.6 g/cm3
# * magnetization: 0.000 μB per formula unit
data_Ta2TiTc
_chemical_formula_sum 'Ta4 Ti2 Tc2'
_symmetry_space_group_name_H-M 'I m m m'
_symmetry_Int_Tables_number 71
_symmetry_space_group_name_Hall '-I 2 2'
_cell_length_a 3.2113
_cell_length_b 4.5402
_cell_length_c 9.2034
_cell_angle_alpha 90.00
_cell_angle_beta 90.00
_cell_angle_gamma 90.00
loop_
_atom_site_label
_atom_site_fract_x
_atom_site_fract_y
_atom_site_fract_z
_atom_site_occupancy
Ta1 0.0000 0.0000 0.2377 1
Ti1 0.0000 0.5000 0.0000 1
Tc1 0.0000 0.5000 0.5000 1

ii:
# Ta2TiTc (PBE-GGA, optimized geometry)
# * density: 11.6 g/cm3
# * magnetization: 0.000 μB per formula unit
data_Ta2TiTc
_chemical_formula_sum 'Ta8 Ti4 Tc4'
_symmetry_space_group_name_H-M 'I -4 2 d'
_symmetry_Int_Tables_number 122
_symmetry_space_group_name_Hall 'I -4 2bw'
_cell_length_a 7.2755
_cell_length_b 7.2755
_cell_length_c 5.5135
_cell_angle_alpha 90.00
_cell_angle_beta 90.00
_cell_angle_gamma 90.00
loop_
_atom_site_label
_atom_site_fract_x
_atom_site_fract_y
_atom_site_fract_z
_atom_site_occupancy
Ta1 0.2241 0.2500 0.1250 1
Ti1 0.0000 0.0000 0.5000 1
Tc1 0.0000 0.0000 0.0000 1

Going by the energies, i is most stable and the next is 0.700 eV/atom up.

i:
# Ta2TiTc (PBE-GGA, optimized geometry)
# * density: 12.1 g/cm3
# * magnetization: 0.000 μB per formula unit
data_Ta2TiTc
_chemical_formula_sum 'Ta8 Ti4 Tc4'
_symmetry_space_group_name_H-M 'C m c m'
_symmetry_Int_Tables_number 63
_symmetry_space_group_name_Hall '-C 2c 2'
_cell_length_a 3.0779
_cell_length_b 11.6529
_cell_length_c 7.7531
_cell_angle_alpha 90.00
_cell_angle_beta 90.00
_cell_angle_gamma 90.00
loop_
_atom_site_label
_atom_site_fract_x
_atom_site_fract_y
_atom_site_fract_z
_atom_site_occupancy
Ta1 0.0000 0.1320 0.0428 1
Ti1 0.0000 0.4798 0.2500 1
Tc1 0.0000 0.2353 0.7500 1

ii:
# Ta2TiTc (PBE-GGA, optimized geometry)
# * density: 12.7 g/cm3
# * magnetization: 0.001 μB per formula unit
data_Ta2TiTc
_chemical_formula_sum 'Ta2 Ti1 Tc1'
_symmetry_space_group_name_H-M 'P 4/m m m'
_symmetry_Int_Tables_number 123
_symmetry_space_group_name_Hall '-P 4 2'
_cell_length_a 4.5674
_cell_length_b 4.5674
_cell_length_c 3.1906
_cell_angle_alpha 90.00
_cell_angle_beta 90.00
_cell_angle_gamma 90.00
loop_
_atom_site_label
_atom_site_fract_x
_atom_site_fract_y
_atom_site_fract_z
_atom_site_occupancy
Ta1 0.0000 0.5000 0.0000 1
Ti1 0.0000 0.0000 0.5000 1
Tc1 0.5000 0.5000 0.5000 1

iii:
# Ta2TiTc (PBE-GGA, optimized geometry)
# * density: 12.5 g/cm3
# * magnetization: 0.000 μB per formula unit
data_Ta2TiTc
_chemical_formula_sum 'Ta2 Ti1 Tc1'
_symmetry_space_group_name_H-M 'P 4/m m m'
_symmetry_Int_Tables_number 123
_symmetry_space_group_name_Hall '-P 4 2'
_cell_length_a 3.1758
_cell_length_b 3.1758
_cell_length_c 6.6687
_cell_angle_alpha 90.00
_cell_angle_beta 90.00
_cell_angle_gamma 90.00
loop_
_atom_site_label
_atom_site_fract_x
_atom_site_fract_y
_atom_site_fract_z
_atom_site_occupancy
Ta1 0.0000 0.0000 0.2369 1
Ti1 0.5000 0.5000 0.5000 1
Tc1 0.5000 0.5000 0.0000 1

Going by the energies, iii is most stable and the next is 0.033 eV/atom up.